Entry from Alexandria via LeMat-Bulk: a relaxed structure of TiMnOsO6 (PBE with a Hubbard U).

- ρ: 6.26 Mg/m³
- Fermi-level density of states: 0.509 states/eV/atom
- Space-group type: P-31c
- Calculated total energy: -144.7 eV/cell

Lattice parameters (Å, degrees): 5.0754 5.0754 9.2573 90.00 90.00 120.00
Fractional coordinates of all 18 atoms:
Ti 0.3333 0.6667 0.2500
Ti 0.6667 0.3333 0.7500
Mn 0.0000 0.0000 0.0000
Mn 0.0000 0.0000 0.5000
Os 0.3333 0.6667 0.7500
Os 0.6667 0.3333 0.2500
O 0.0048 0.3547 0.6349
O 0.0048 0.6501 0.8651
O 0.3499 0.3547 0.8651
O 0.3499 0.9952 0.6349
O 0.3547 0.0048 0.1349
O 0.3547 0.3499 0.3651
O 0.6453 0.6501 0.6349
O 0.6453 0.9952 0.8651
O 0.6501 0.0048 0.3651
O 0.6501 0.6453 0.1349
O 0.9952 0.3499 0.1349
O 0.9952 0.6453 0.3651